[1]
Te6PdPt2: optimized geometry, PBE.

Summary:
relative energy among the computed polymorphs	0.00	kcal/mol of atoms
total moment	0.00	μB per atom
energy relative to the elements, uncorrected	-0.38	eV per atom

POSCAR file:
```
Te6PdPt2
1.0
5.2923 0.0000 0.0000
0.0000 6.1347 -3.5419
0.0000 0.0000 7.0837
Te Pt Pd
6 2 1
direct
0.7587 0.0000 0.3360 Te
0.2413 0.3360 0.3360 Te
0.2413 0.6640 0.0000 Te
0.7587 0.3360 0.0000 Te
0.2413 0.0000 0.6640 Te
0.7587 0.6640 0.6640 Te
0.5000 0.6667 0.3333 Pt
0.5000 0.3333 0.6667 Pt
0.5000 0.0000 0.0000 Pd
```


[2]
Te2PdPt: optimized geometry, PBE.

Summary:
relative energy among the computed polymorphs	1.28	kcal/mol of atoms
total moment	0.00	μB per atom
energy relative to the elements, uncorrected	-0.15	eV per atom

POSCAR file:
```
Te2PdPt
1.0
-5.0016 0.5335 -3.3796
3.2152 -1.3138 -4.9657
-2.0490 -6.2114 -3.3810
Te Pd Pt
4 2 2
direct
0.1215 0.6250 0.2500 Te
0.8750 0.8785 0.7500 Te
0.6285 0.1250 0.2500 Te
0.3750 0.3715 0.7500 Te
0.5000 0.5000 0.0000 Pd
0.2500 0.7500 0.5000 Pd
0.7500 0.2500 0.5000 Pt
0.0000 0.0000 0.0000 Pt
```


[3]
Te3PdPt2: optimized geometry, PBE.

Summary:
total moment	0.00	μB per atom
energy relative to the elements, uncorrected	-0.25	eV per atom

POSCAR file:
```
Te3PdPt2
1.0
-4.7687 1.5201 0.0986
-2.0913 -6.2712 -4.4567
-0.0194 -0.5767 7.9518
Te Pd Pt
6 2 4
direct
0.7262 0.3559 0.1780 Te
0.2738 0.1780 0.3559 Te
0.7262 0.8220 0.1780 Te
0.2738 0.1780 0.8220 Te
0.2738 0.6441 0.8220 Te
0.7262 0.8220 0.6441 Te
0.6623 0.3333 0.6667 Pd
0.3377 0.6667 0.3333 Pd
0.0000 0.5000 0.0000 Pt
0.0000 0.5000 0.5000 Pt
0.0000 0.0000 0.0000 Pt
0.0000 0.0000 0.5000 Pt
```


[4]
TePd14Pt: optimized geometry, PBE.

Summary:
total moment	0.00	μB per atom
energy relative to the elements, uncorrected	-0.04	eV per atom

POSCAR file:
```
TePd14Pt
1.0
-1.8313 0.3316 5.2965
-2.5559 -3.4647 -3.6027
5.7693 -6.7710 2.4187
Pd Te Pt
14 1 1
direct
0.0407 0.4571 0.5000 Pd
0.7077 0.2923 0.0000 Pd
0.2074 0.2922 0.0000 Pd
0.3755 0.6245 0.2485 Pd
0.3745 0.1233 0.2487 Pd
0.5429 0.9593 0.5000 Pd
0.8755 0.1245 0.7516 Pd
0.7079 0.7926 0.0000 Pd
0.2079 0.7921 0.0000 Pd
0.3745 0.1233 0.7513 Pd
0.8767 0.6255 0.7513 Pd
0.8767 0.6255 0.2487 Pd
0.8755 0.1245 0.2484 Pd
0.3755 0.6245 0.7515 Pd
0.5398 0.4602 0.5000 Te
0.0413 0.9587 0.5000 Pt
```


[5]
Te12PdPt5: optimized geometry, PBE.

Summary:
total moment	0.00	μB per atom
energy relative to the elements, uncorrected	-0.38	eV per atom

POSCAR file:
```
Te12PdPt5
1.0
-3.3273 2.9885 -5.4068
-2.4958 -3.9785 -5.2164
-11.0095 -0.0500 3.7546
Pd Pt Te
1 5 12
direct
0.0000 0.0000 0.0000 Pd
0.3335 0.3331 0.0000 Pt
0.6666 0.6669 0.0000 Pt
0.8334 0.3332 0.5000 Pt
0.5000 0.0000 0.5000 Pt
0.1666 0.6668 0.5000 Pt
0.5405 0.6661 0.3786 Te
0.9604 0.6647 0.1216 Te
0.6251 0.3353 0.1216 Te
0.8724 0.0000 0.3797 Te
0.2066 0.3339 0.3786 Te
0.3749 0.6647 0.8784 Te
0.2948 0.0000 0.1213 Te
0.7053 0.0000 0.8787 Te
0.1276 0.0000 0.6203 Te
0.4595 0.3339 0.6214 Te
0.7934 0.6661 0.6214 Te
0.0396 0.3353 0.8784 Te
```


[6]
Te8PdPt4: optimized geometry, PBE.

Summary:
total moment	0.00	μB per atom
energy relative to the elements, uncorrected	-0.34	eV per atom

POSCAR file:
```
Te8PdPt4
1.0
7.0658 -0.0006 -3.8121
-4.5610 6.6072 -0.0004
-0.3072 -0.2115 7.8852
Pd Te Pt
1 8 4
direct
0.0000 0.5000 0.5000 Pd
0.4800 0.7400 0.2200 Te
0.5060 0.7530 0.7755 Te
0.4940 0.2470 0.2245 Te
0.9775 0.7306 0.2245 Te
0.0225 0.2694 0.7755 Te
0.5200 0.2600 0.7800 Te
0.0225 0.7530 0.7755 Te
0.9775 0.2470 0.2245 Te
0.5000 0.5000 0.0000 Pt
0.5000 0.0000 0.0000 Pt
0.0000 0.5000 0.0000 Pt
0.0000 0.0000 0.0000 Pt
```


[7]
Te2PdPt: optimized geometry, PBE.

Summary:
relative energy among the computed polymorphs	0.27	kcal/mol of atoms
total moment	0.00	μB per atom
energy relative to the elements, uncorrected	-0.19	eV per atom

POSCAR file:
```
Te2PdPt
1.0
4.0477 0.0000 0.0000
2.0238 3.5054 0.0000
2.0238 1.1685 6.4248
Te Pd Pt
2 1 1
direct
0.2547 0.2547 0.2358 Te
0.0732 0.0732 0.7805 Te
0.5096 0.5096 0.4713 Pd
0.6626 0.6626 0.0123 Pt
```


[8]
TePd8Pt2: optimized geometry, PBE.

Summary:
total moment	0.00	μB per atom
energy relative to the elements, uncorrected	-0.11	eV per atom

POSCAR file:
```
TePd8Pt2
1.0
3.8785 0.0000 -1.0329
-0.4025 6.0577 -1.5112
-0.0858 0.0003 7.4759
Pd Pt Te
8 2 1
direct
0.4082 0.5441 0.8164 Pd
0.3166 0.0924 0.6332 Pd
0.9535 0.2736 0.9069 Pd
0.0465 0.7264 0.0931 Pd
0.1380 0.1846 0.2760 Pd
0.5918 0.4559 0.1836 Pd
0.6834 0.9076 0.3668 Pd
0.8620 0.8154 0.7240 Pd
0.2271 0.6339 0.4543 Pt
0.7729 0.3661 0.5457 Pt
0.5000 0.0000 0.0000 Te
```


[9]
TePd2Pt2: optimized geometry, PBE.

Summary:
relative energy among the computed polymorphs	0.00	kcal/mol of atoms
total moment	0.00	μB per atom
energy relative to the elements, uncorrected	0.02	eV per atom

POSCAR file:
```
TePd2Pt2
1.0
-2.5960 -4.3304 -4.8165
2.4053 -5.4625 3.6148
-3.1797 -0.1668 1.8637
Pt Te Pd
4 2 4
direct
0.8594 0.6406 0.0000 Pt
0.6406 0.1406 0.0000 Pt
0.3594 0.8594 0.0000 Pt
0.1406 0.3594 0.0000 Pt
0.5000 0.5000 0.0000 Te
0.0000 0.0000 0.0000 Te
0.3446 0.1554 0.5000 Pd
0.1554 0.6554 0.5000 Pd
0.8446 0.3446 0.5000 Pd
0.6554 0.8446 0.5000 Pd
```


[10]
Te8Pd3Pt: optimized geometry, PBE.

Summary:
total moment	0.00	μB per atom
energy relative to the elements, uncorrected	-0.35	eV per atom

POSCAR file:
```
Te8Pd3Pt
1.0
-4.4702 3.6842 5.7914
-3.1759 -6.2424 -4.2852
7.2540 1.0431 4.9516
Te Pd Pt
8 3 1
direct
0.2026 0.4044 0.7379 Te
0.2982 0.0996 0.2636 Te
0.7974 0.5956 0.2621 Te
0.1992 0.9002 0.7363 Te
0.8008 0.0998 0.2637 Te
0.7062 0.4118 0.7441 Te
0.7018 0.9004 0.7365 Te
0.2938 0.5882 0.2559 Te
0.0000 0.5000 0.0000 Pd
0.5000 0.0000 0.0000 Pd
0.5000 0.5000 0.0000 Pd
0.0000 0.0000 0.0000 Pt
```


[11]
Te12Pd5Pt: optimized geometry, PBE.

Summary:
total moment	0.00	μB per atom
energy relative to the elements, uncorrected	-0.32	eV per atom

POSCAR file:
```
Te12Pd5Pt
1.0
7.0046 0.0000 -0.7229
3.5023 6.0962 -0.3614
-1.1478 0.0000 11.1966
Te Pd Pt
12 5 1
direct
0.6277 0.0000 0.8749 Te
0.8743 0.6677 0.6256 Te
0.3723 0.0000 0.1251 Te
0.2070 0.0000 0.6270 Te
0.5420 0.3323 0.6256 Te
0.7087 0.3313 0.1249 Te
0.2913 0.6687 0.8751 Te
0.0401 0.6687 0.1249 Te
0.1257 0.3323 0.3744 Te
0.4580 0.6677 0.3744 Te
0.9600 0.3313 0.8751 Te
0.7930 0.0000 0.3730 Te
0.5000 0.0000 0.5000 Pd
0.1667 0.6666 0.5000 Pd
0.3333 0.3334 0.0000 Pd
0.6667 0.6666 0.0000 Pd
0.8333 0.3334 0.5000 Pd
0.0000 0.0000 0.0000 Pt
```


[12]
Te4Pd5Pt: optimized geometry, PBE.

Summary:
total moment	0.00	μB per atom
energy relative to the elements, uncorrected	-0.23	eV per atom

POSCAR file:
```
Te4Pd5Pt
1.0
3.6924 0.0000 0.0000
0.0000 7.2192 -1.6149
-1.8462 -2.6970 8.1297
Pd Pt Te
5 1 4
direct
0.5000 0.5000 0.0000 Pd
0.2457 0.3541 0.4914 Pd
0.8526 0.2611 0.7053 Pd
0.1474 0.7389 0.2947 Pd
0.7543 0.6459 0.5086 Pd
0.5000 0.0000 0.0000 Pt
0.9211 0.6760 0.8421 Te
0.6608 0.0215 0.3215 Te
0.3392 0.9785 0.6785 Te
0.0789 0.3240 0.1579 Te
```